DFT (PBE) results for crystalline Pr2TcN3 at its relaxed geometry.

The structure in CIF format:
```
data_Pr2TcN3
_cell_length_a 3.568
_cell_length_b 3.919
_cell_length_c 12.994
_cell_angle_alpha 90.00
_cell_angle_beta 90.00
_cell_angle_gamma 90.00
_space_group_name_H-M_alt 'I m m m'
_space_group_IT_number 71
_space_group_name_Hall '-I 2 2'
loop_
_atom_site_label
_atom_site_fract_x
_atom_site_fract_y
_atom_site_fract_z
Pr1 0.000 0.000 0.148
Tc1 0.000 0.000 0.500
N1 0.000 0.000 0.341
N2 0.000 0.500 0.500
```

Results
**E**: -101.07 eV per cell

DFT (PBE) results for crystalline Pr3TcN4 at its relaxed geometry.

The structure in CIF format:
```
data_Pr3TcN4
_cell_length_a 7.813
_cell_length_b 6.952
_cell_length_c 5.375
_cell_angle_alpha 90.00
_cell_angle_beta 90.00
_cell_angle_gamma 90.00
_space_group_name_H-M_alt 'P m n 21'
_space_group_IT_number 31
loop_
_space_group_symop_operation_xyz
'x,y,z'
'-x+1/2,-y,z+1/2'
'-x,y,z'
'x+1/2,-y,z+1/2'
loop_
_atom_site_label
_atom_site_fract_x
_atom_site_fract_y
_atom_site_fract_z
Pr1 0.000 0.138 0.000
Pr2 0.241 0.336 0.501
Tc1 0.000 0.824 0.441
N1 0.000 0.103 0.485
N2 0.000 0.808 0.064
N3 0.221 0.695 0.486
```

Results
**E**: -128.64 eV per cell

Calculated calculated volume in order - 182 292 Å³/cell
Calculated E_form (uncorrected) in order - -0.939 -0.789 eV/atom
Calculated magnetic moment in order - 0.000 0.050 μB/atom